1.
A plane-wave DFT calculation with PBE was carried out for a geometry-optimized FeC2Se structure.

a b c (Å): 4.637 4.637 5.509
angles (deg): 65.11 65.11 90.00
Fractional positions:
C: 0.169 0.625 0.250
C: 0.375 0.419 0.750
C: 0.581 0.125 0.250
Se: 0.750 0.250 0.500
Fe: 0.250 0.750 0.500
Se: 0.000 0.000 0.000
Fe: 0.500 0.500 0.000
C: 0.875 0.831 0.750

Results
- Space group: No. 122


2.
A plane-wave DFT calculation with PBE was carried out for a geometry-optimized FeCSe2 structure.

a b c (Å): 6.417 6.417 6.417
angles (deg): 32.54 32.54 32.54
Fractional positions:
Se: 0.097 0.097 0.097
Se: 0.903 0.903 0.903
Fe: 0.500 0.500 0.500
C: 0.000 0.000 0.000

Results
- Space group: No. 166


3.
A plane-wave DFT calculation with PBE was carried out for a geometry-optimized FeCSe2 structure.

a b c (Å): 5.160 5.160 6.170
angles (deg): 65.28 65.28 90.00
Fractional positions:
Se: 0.875 0.845 0.750
Fe: 0.000 0.000 0.000
C: 0.250 0.750 0.500
C: 0.500 0.500 0.000
Fe: 0.750 0.250 0.500
Se: 0.375 0.405 0.750
Se: 0.155 0.625 0.250
Se: 0.595 0.125 0.250

Results
- Space group: No. 122


4.
A plane-wave DFT calculation with PBE was carried out for a geometry-optimized FeC3Se structure.

a b c (Å): 3.811 3.811 3.811
angles (deg): 90.00 90.00 90.00
Fractional positions:
C: 0.500 0.000 0.000
C: 0.000 0.500 0.000
Fe: 0.500 0.500 0.500
Se: 0.000 0.000 0.000
C: 0.000 0.000 0.500

Results
- Space group: No. 221
- Excess energy over the best structure of this formula in the dataset: 1084 meV/atom


5.
A plane-wave DFT calculation with PBE was carried out for a geometry-optimized Fe3CSe structure.

a b c (Å): 4.371 4.371 4.371
angles (deg): 90.00 90.00 90.00
Fractional positions:
Fe: 0.000 0.000 0.500
Se: 0.000 0.000 0.000
C: 0.500 0.500 0.500
Fe: 0.000 0.500 0.000
Fe: 0.500 0.000 0.000

Results
- Space group: No. 221
- Excess energy over the best structure of this formula in the dataset: 1527 meV/atom


6.
A plane-wave DFT calculation with PBE was carried out for a geometry-optimized FeC3Se structure.

a b c (Å): 3.818 3.818 3.818
angles (deg): 90.00 90.00 90.00
Fractional positions:
C: 0.000 0.000 0.500
C: 0.500 0.000 0.000
Fe: 0.000 0.000 0.000
Se: 0.500 0.500 0.500
C: 0.000 0.500 0.000

Results
- Space group: No. 221
- Excess energy over the best structure of this formula in the dataset: 0 meV/atom


Number 1: total DFT energy (no corrections) -51.44 eV/cell. Number 2: total DFT energy (no corrections) -20.86 eV/cell. Number 3: total DFT energy (no corrections) -42.40 eV/cell. Number 4: total DFT energy (no corrections) -23.85 eV/cell. Number 5: total DFT energy (no corrections) -28.60 eV/cell. Number 6: total DFT energy (no corrections) -29.27 eV/cell.